[1]
Here is Fe2Os after structural relaxation from Alexandria. Energies are from PBEsol.

Unit cell a=6.6950 b=6.6950 c=4.0075 alpha=90.00 beta=90.00 gamma=157.81
Atoms (fractional coordinates):
1 Fe 0.0562 0.9438 0.7500
2 Fe 0.2773 0.7227 0.2500
3 Fe 0.7227 0.2773 0.7500
4 Fe 0.9438 0.0562 0.2500
5 Os 0.3879 0.6121 0.7500
6 Os 0.6121 0.3879 0.2500

Output
**Formation energy from the elements**: -0.2 kJ/mol of atoms
**Calculated volume**: 67.8 Å³ per cell
**Magnetization**: 0.0 Bohr magnetons per cell
**Total DFT energy (no corrections)**: -10.05 eV/atom

=====

[2]
Here is Fe3Os after structural relaxation from Alexandria. Energies are from PBEsol.

Unit cell a=2.7820 b=2.7820 c=6.0025 alpha=90.00 beta=90.00 gamma=90.00
Atoms (fractional coordinates):
1 Fe 0.0000 0.0000 0.0000
2 Fe 0.5000 0.5000 0.2320
3 Fe 0.5000 0.5000 0.7680
4 Os 0.0000 0.0000 0.5000

Output
**Formation energy from the elements**: 10.6 kJ/mol of atoms
**Calculated volume**: 46.5 Å³ per cell
**Magnetization**: 6.4 Bohr magnetons per cell
**Total DFT energy (no corrections)**: -9.67 eV/atom

=====

[3]
Here is FeOs2 after structural relaxation from Alexandria. Energies are from PBEsol.

Unit cell a=4.9479 b=4.9479 c=6.1877 alpha=102.54 beta=102.54 gamma=31.34
Atoms (fractional coordinates):
1 Fe 0.0000 0.0000 0.0000
2 Fe 0.6682 0.6682 0.3346
3 Os 0.0586 0.0586 0.6084
4 Os 0.3350 0.3350 0.6695
5 Os 0.3919 0.3919 0.2729
6 Os 0.7184 0.7184 0.9539

Output
**Formation energy from the elements**: 6.0 kJ/mol of atoms
**Calculated volume**: 76.8 Å³ per cell
**Magnetization**: 0.0 Bohr magnetons per cell
**Energy relative to the lowest polymorph listed for this composition**: 2.4 kJ/mol of atoms
**Total DFT energy (no corrections)**: -11.07 eV/atom

=====

[4]
Here is FeOs2 after structural relaxation from Alexandria. Energies are from PBEsol.

Unit cell a=6.9463 b=6.9463 c=4.2066 alpha=90.00 beta=90.00 gamma=157.78
Atoms (fractional coordinates):
1 Fe 0.2250 0.7750 0.7500
2 Fe 0.7750 0.2250 0.2500
3 Os 0.1192 0.8808 0.2500
4 Os 0.4406 0.5594 0.2500
5 Os 0.5594 0.4406 0.7500
6 Os 0.8808 0.1192 0.7500

Output
**Formation energy from the elements**: 6.5 kJ/mol of atoms
**Calculated volume**: 76.8 Å³ per cell
**Magnetization**: 0.0 Bohr magnetons per cell
**Energy relative to the lowest polymorph listed for this composition**: 2.9 kJ/mol of atoms
**Total DFT energy (no corrections)**: -11.06 eV/atom

=====

[5]
Here is Fe2Os after structural relaxation from Alexandria. Energies are from PBEsol.

Unit cell a=4.7502 b=4.7502 c=5.9634 alpha=103.76 beta=103.76 gamma=31.56
Atoms (fractional coordinates):
1 Fe 0.0290 0.0290 0.2973
2 Fe 0.3644 0.3644 0.9707
3 Fe 0.6356 0.6356 0.0293
4 Fe 0.9710 0.9710 0.7027
5 Os 0.3092 0.3092 0.3528
6 Os 0.6908 0.6908 0.6472

Output
**Formation energy from the elements**: 5.5 kJ/mol of atoms
**Calculated volume**: 68.2 Å³ per cell
**Magnetization**: 0.0 Bohr magnetons per cell
**Total DFT energy (no corrections)**: -9.99 eV/atom

=====

[6]
Here is Fe3Os after structural relaxation from Alexandria. Energies are from PBEsol.

Unit cell a=4.7049 b=4.7049 c=4.7049 alpha=148.55 beta=64.73 gamma=125.02
Atoms (fractional coordinates):
1 Fe 0.0000 0.0000 0.0000
2 Fe 0.4121 0.6654 0.7467
3 Fe 0.9186 0.6654 0.2533
4 Os 0.5038 0.0038 0.5000

Output
**Formation energy from the elements**: 3.9 kJ/mol of atoms
**Calculated volume**: 44.0 Å³ per cell
**Magnetization**: 0.0 Bohr magnetons per cell
**Total DFT energy (no corrections)**: -9.74 eV/atom

=====

[7]
Here is FeOs2 after structural relaxation from Alexandria. Energies are from PBEsol.

Unit cell a=4.1402 b=4.1402 c=2.5728 alpha=90.00 beta=90.00 gamma=90.00
Atoms (fractional coordinates):
1 Fe 0.0000 0.0000 0.0000
2 Os 0.0000 0.5000 0.5000
3 Os 0.5000 0.0000 0.5000

Output
**Formation energy from the elements**: 96.6 kJ/mol of atoms
**Calculated volume**: 44.1 Å³ per cell
**Magnetization**: 1.1 Bohr magnetons per cell
**Energy relative to the lowest polymorph listed for this composition**: 93.0 kJ/mol of atoms
**Total DFT energy (no corrections)**: -10.13 eV/atom

=====

[8]
Here is FeOs2 after structural relaxation from Alexandria. Energies are from PBEsol.

Unit cell a=2.6641 b=2.6641 c=6.3540 alpha=90.00 beta=90.00 gamma=120.00
Atoms (fractional coordinates):
1 Fe 0.0000 0.0000 0.0000
2 Os 0.3333 0.6667 0.6757
3 Os 0.6667 0.3333 0.3243

Output
**Formation energy from the elements**: 18.0 kJ/mol of atoms
**Calculated volume**: 39.1 Å³ per cell
**Magnetization**: 1.4 Bohr magnetons per cell
**Energy relative to the lowest polymorph listed for this composition**: 14.3 kJ/mol of atoms
**Total DFT energy (no corrections)**: -10.95 eV/atom

=====

[9]
Here is FePOs3 after structural relaxation from Alexandria. Energies are from PBEsol.

Unit cell a=4.2905 b=4.2905 c=4.2905 alpha=90.00 beta=90.00 gamma=90.00
Atoms (fractional coordinates):
1 Fe 0.0000 0.0000 0.0000
2 P 0.5000 0.5000 0.5000
3 Os 0.0000 0.5000 0.5000
4 Os 0.5000 0.0000 0.5000
5 Os 0.5000 0.5000 0.0000

Output
**Formation energy from the elements**: 111.3 kJ/mol of atoms
**Calculated volume**: 79.0 Å³ per cell
**Magnetization**: 4.6 Bohr magnetons per cell
**Total DFT energy (no corrections)**: -9.13 eV/atom

=====

[10]
Here is Fe2POs after structural relaxation from Alexandria. Energies are from PBEsol.

Unit cell a=4.3738 b=4.3738 c=4.3738 alpha=132.56 beta=132.56 gamma=69.35
Atoms (fractional coordinates):
1 Fe 0.2500 0.7500 0.5000
2 Fe 0.7500 0.2500 0.5000
3 P 0.0000 0.0000 0.0000
4 Os 0.5000 0.5000 0.0000

Output
**Formation energy from the elements**: 1.1 kJ/mol of atoms
**Calculated volume**: 44.5 Å³ per cell
**Magnetization**: 0.0 Bohr magnetons per cell
**Total DFT energy (no corrections)**: -8.97 eV/atom

=====

[11]
Here is Fe2POs after structural relaxation from Alexandria. Energies are from PBEsol.

Unit cell a=4.8703 b=4.8703 c=4.8703 alpha=147.68 beta=131.75 gamma=59.27
Atoms (fractional coordinates):
1 Fe 0.0000 0.0000 0.0000
2 Fe 0.7041 0.2041 0.5000
3 P 0.2006 0.7006 0.5000
4 Os 0.4254 0.4254 0.0000

Output
**Formation energy from the elements**: -10.2 kJ/mol of atoms
**Calculated volume**: 45.7 Å³ per cell
**Magnetization**: 1.1 Bohr magnetons per cell
**Total DFT energy (no corrections)**: -9.09 eV/atom

=====

[12]
Here is FeOsPb2 after structural relaxation from Alexandria. Energies are from PBEsol.

Unit cell a=3.1005 b=3.1005 c=8.3873 alpha=90.00 beta=90.00 gamma=90.00
Atoms (fractional coordinates):
1 Fe 0.0000 0.0000 0.0000
2 Os 0.5000 0.5000 0.1393
3 Pb 0.0000 0.0000 0.3857
4 Pb 0.5000 0.5000 0.7696

Output
**Formation energy from the elements**: 43.5 kJ/mol of atoms
**Calculated volume**: 80.6 Å³ per cell
**Magnetization**: 2.1 Bohr magnetons per cell
**Total DFT energy (no corrections)**: -6.84 eV/atom

=====

[13]
Here is Fe3OsPb after structural relaxation from Alexandria. Energies are from PBEsol.

Unit cell a=4.5812 b=4.5812 c=4.5812 alpha=90.00 beta=90.00 gamma=90.00
Atoms (fractional coordinates):
1 Fe 0.0000 0.0000 0.5000
2 Fe 0.0000 0.5000 0.0000
3 Fe 0.5000 0.0000 0.0000
4 Os 0.0000 0.0000 0.0000
5 Pb 0.5000 0.5000 0.5000

Output
**Formation energy from the elements**: 131.8 kJ/mol of atoms
**Calculated volume**: 96.1 Å³ per cell
**Magnetization**: 8.3 Bohr magnetons per cell
**Total DFT energy (no corrections)**: -7.26 eV/atom

=====

[14]
Here is FeOsPb after structural relaxation from Alexandria. Energies are from PBEsol.

Unit cell a=4.3219 b=4.3219 c=4.3219 alpha=60.00 beta=60.00 gamma=60.00
Atoms (fractional coordinates):
1 Fe 0.0000 0.0000 0.0000
2 Os 0.2500 0.2500 0.2500
3 Pb 0.5000 0.5000 0.5000

Output
**Formation energy from the elements**: 88.2 kJ/mol of atoms
**Calculated volume**: 57.1 Å³ per cell
**Magnetization**: 3.0 Bohr magnetons per cell
**Total DFT energy (no corrections)**: -7.48 eV/atom

=====

[15]
Here is FeOsPt after structural relaxation from Alexandria. Energies are from PBEsol.

Unit cell a=2.6831 b=2.6831 c=6.4523 alpha=90.00 beta=90.00 gamma=120.00
Atoms (fractional coordinates):
1 Fe 0.0000 0.0000 0.0000
2 Os 0.3333 0.6667 0.6945
3 Pt 0.6667 0.3333 0.3320

Output
**Formation energy from the elements**: 7.7 kJ/mol of atoms
**Calculated volume**: 40.2 Å³ per cell
**Magnetization**: 1.9 Bohr magnetons per cell
**Energy relative to the lowest polymorph listed for this composition**: 0.0 kJ/mol of atoms
**Total DFT energy (no corrections)**: -9.30 eV/atom